# 1
This record from the Alexandria database describes a geometry-optimized LiYMg2 structure. The functional is GGA-PBEsol.

abc: 7.224 7.224 7.224
angles: 90.00 90.00 90.00
Space group Fm-3m (No. 225)
One atom of each set of equivalent atoms:
1 Li 0.000 0.000 0.000 [4 per cell]
2 Y 0.000 0.000 0.500 [4 per cell]
3 Mg 0.250 0.250 0.250 [8 per cell]

Size of the total moment, μB per formula unit: 0.000
Energy of formation, kcal/mol of atoms: 0.26
VASP energy, eV/atom: -3.04
Crystal system: cubic


# 2
This record from the Alexandria database describes a geometry-optimized LiYMg2 structure. The functional is GGA-PBEsol.

abc: 3.701 5.207 9.755
angles: 90.00 90.00 90.00
Space group Immm (No. 71)
One atom of each set of equivalent atoms:
1 Li 0.000 0.000 0.000 [2 per cell]
2 Y 0.000 0.000 0.500 [2 per cell]
3 Mg 0.000 0.500 0.278 [4 per cell]

Size of the total moment, μB per formula unit: 0.000
Energy of formation, kcal/mol of atoms: 0.44
VASP energy, eV/atom: -3.04
Crystal system: orthorhombic


# 3
This record from the Alexandria database describes a geometry-optimized LiYMg2 structure. The functional is GGA-PBEsol.

abc: 4.310 4.310 21.629
angles: 90.00 90.00 90.00
Space group I-42d (No. 122)
One atom of each set of equivalent atoms:
1 Li 0.000 0.000 0.000 [4 per cell]
2 Y 0.000 0.000 0.500 [4 per cell]
3 Mg 0.224 0.250 0.125 [8 per cell]

Size of the total moment, μB per formula unit: 0.000
Energy of formation, kcal/mol of atoms: 6.52
VASP energy, eV/atom: -2.77
Crystal system: tetragonal


# 4
This record from the Alexandria database describes a geometry-optimized LiYMg2 structure. The functional is GGA-PBEsol.

abc: 7.154 7.154 7.154
angles: 90.00 90.00 90.00
Space group F-43m (No. 216)
One atom of each set of equivalent atoms:
1 Li 0.000 0.000 0.000 [4 per cell]
2 Y 0.250 0.250 0.750 [4 per cell]
3 Mg 0.000 0.000 0.500 [4 per cell]
4 Mg 0.250 0.250 0.250 [4 per cell]

Size of the total moment, μB per formula unit: 0.000
Energy of formation, kcal/mol of atoms: -0.74
VASP energy, eV/atom: -3.09
Crystal system: cubic


# 5
This record from the Alexandria database describes a geometry-optimized LiYMg2 structure. The functional is GGA-PBEsol.

abc: 3.598 3.598 7.233
angles: 90.00 90.00 90.00
Space group P4mm (No. 99)
One atom of each set of equivalent atoms:
1 Li 0.000 0.000 0.000 [1 per cell]
2 Y 0.500 0.500 0.728 [1 per cell]
3 Mg 0.000 0.000 0.451 [1 per cell]
4 Mg 0.500 0.500 0.206 [1 per cell]

Size of the total moment, μB per formula unit: 0.216
Energy of formation, kcal/mol of atoms: 0.13
VASP energy, eV/atom: -3.05
Crystal system: tetragonal


# 6
This record from the Alexandria database describes a geometry-optimized LiYMg2 structure. The functional is GGA-PBEsol.

abc: 3.507 3.507 7.623
angles: 90.00 90.00 90.00
Space group P4/mmm (No. 123)
One atom of each set of equivalent atoms:
1 Li 0.000 0.000 0.000 [1 per cell]
2 Y 0.000 0.000 0.500 [1 per cell]
3 Mg 0.500 0.500 0.216 [2 per cell]

Size of the total moment, μB per formula unit: 0.181
Energy of formation, kcal/mol of atoms: -1.28
VASP energy, eV/atom: -3.11
Crystal system: tetragonal


# 7
This record from the Alexandria database describes a geometry-optimized LiYMg structure. The functional is GGA-PBEsol.

abc: 5.1233 5.1233 3.1886
angles: 90.00 90.00 120.00
Space group P3m1 (No. 156)
One atom of each set of equivalent atoms:
1 Li 0.0000 0.0000 0.0000 [1 per cell]
2 Y 0.3333 0.6667 0.4984 [1 per cell]
3 Mg 0.6667 0.3333 0.9976 [1 per cell]

Size of the total moment, μB per formula unit: 0.000
Energy of formation, kcal/mol of atoms: 0.52
VASP energy, eV/atom: -3.48
Crystal system: trigonal


# 8
This record from the Alexandria database describes a geometry-optimized LiYMg2 structure. The functional is GGA-PBEsol.

abc: 3.168 4.865 6.360
angles: 90.00 104.11 90.00
Space group P2/m (No. 10)
One atom of each set of equivalent atoms:
1 Li 0.000 0.000 0.000 [1 per cell]
2 Y 0.000 0.000 0.500 [1 per cell]
3 Mg 0.395 0.500 0.230 [2 per cell]

Size of the total moment, μB per formula unit: 0.000
Energy of formation, kcal/mol of atoms: 0.27
VASP energy, eV/atom: -3.04
Crystal system: monoclinic


# 9
This record from the Alexandria database describes a geometry-optimized LiYMg2 structure. The functional is GGA-PBEsol.

abc: 3.2894 3.2894 31.2415
angles: 90.00 90.00 120.00
Space group R-3m (No. 166, hexagonal axes)
One atom of each set of equivalent atoms:
1 Li 0.0000 0.0000 0.0000 [3 per cell]
2 Y 0.0000 0.0000 0.5000 [3 per cell]
3 Mg 0.0000 0.0000 0.2557 [6 per cell]

Size of the total moment, μB per formula unit: 0.000
Energy of formation, kcal/mol of atoms: 0.68
VASP energy, eV/atom: -3.03
Crystal system: trigonal


# 10
This record from the Alexandria database describes a geometry-optimized Li2MgZn2 structure. The functional is GGA-PBEsol.

abc: 7.263 7.263 3.046
angles: 90.00 90.00 90.00
Space group P4/mbm (No. 127)
One atom of each set of equivalent atoms:
1 Li 0.168 0.332 0.000 [4 per cell]
2 Mg 0.000 0.000 0.500 [2 per cell]
3 Zn 0.126 0.626 0.500 [4 per cell]

Size of the total moment, μB per formula unit: 0.000
Energy of formation, kcal/mol of atoms: -2.36
VASP energy, eV/atom: -1.87
Crystal system: tetragonal


# 11
This record from the Alexandria database describes a geometry-optimized Li2Mg2Zn structure. The functional is GGA-PBEsol.

abc: 7.312 7.312 3.564
angles: 90.00 90.00 90.00
Space group P4/mbm (No. 127)
One atom of each set of equivalent atoms:
1 Li 0.157 0.343 0.000 [4 per cell]
2 Mg 0.145 0.645 0.500 [4 per cell]
3 Zn 0.000 0.000 0.500 [2 per cell]

Size of the total moment, μB per formula unit: 0.000
Energy of formation, kcal/mol of atoms: 1.66
VASP energy, eV/atom: -1.72
Crystal system: tetragonal


# 12
This record from the Alexandria database describes a geometry-optimized Li2Mg2Zr structure. The functional is GGA-PBEsol.

abc: 3.758 3.758 14.416
angles: 90.00 90.00 90.00
Space group I4/mmm (No. 139)
One atom of each set of equivalent atoms:
1 Li 0.000 0.500 0.250 [4 per cell]
2 Mg 0.000 0.000 0.103 [4 per cell]
3 Zr 0.000 0.000 0.500 [2 per cell]

Size of the total moment, μB per formula unit: 0.000
Energy of formation, kcal/mol of atoms: 5.43
VASP energy, eV/atom: -3.06
Crystal system: tetragonal